A plane-wave DFT calculation with PBE was carried out for a relaxed BaAs2W crystal.

Lattice parameters (Å, degrees): 7.9600 7.9600 7.9600 155.12 153.33 36.79
Element x y z (fractional)
As 0.7687 0.2687 0.5000
As 0.0811 0.0811 0.0000
W 0.2012 0.7012 0.5000
Ba 0.4490 0.4490 0.0000

Output
- symmetry = Imm2 (44)
- formation enthalpy at 0 K (eV/atom) = -0.134
- DFT total energy (eV per atom) = -6.178
- distance to the lowest polymorph of the same formula (meV per atom) = 105.0
- size of the total moment (μB per cell) = 0.0